[1]
Here is a relaxed ZrSc2 crystal from OQMD. Energies are from PBE.

Unit cell a=11.1614 b=11.1614 c=11.1614 alpha=90.00 beta=90.00 gamma=90.00
Space group Fd-3m (No. 227, origin choice 2)
Inequivalent atoms, fractional coordinates:
Zr 0.1250 0.1250 0.1250 [8 per cell]
Sc 0.0000 0.0000 0.0000 [16 per cell]

- DFT total energy (eV/atom) = -4.537

=====

[2]
Here is a relaxed ZrSc3 crystal from OQMD. Energies are from PBE.

Unit cell a=5.1016 b=6.5368 c=5.6706 alpha=90.00 beta=90.00 gamma=90.00
Space group Pmmn (No. 59, origin choice 2)
Inequivalent atoms, fractional coordinates:
Zr 0.2500 0.2500 0.1655 [2 per cell]
Sc 0.2500 0.0014 0.6664 [4 per cell]
Sc 0.2500 0.7500 0.1629 [2 per cell]

- DFT total energy (eV/atom) = -6.891

=====

[3]
Here is a relaxed Zr4Sc3 crystal from OQMD. Energies are from PBE.

Unit cell a=8.5575 b=8.5575 c=5.1502 alpha=90.00 beta=90.00 gamma=120.00
Space group P6_3/m (No. 176)
Inequivalent atoms, fractional coordinates:
Zr 0.0486 0.2364 0.2500 [6 per cell]
Zr 0.3333 0.6667 0.2500 [2 per cell]
Sc 0.0930 0.4720 0.7500 [6 per cell]

- distance to the lowest polymorph of the same formula (meV per atom) = 0.0
- DFT total energy (eV/atom) = -7.620

=====

[4]
Here is a relaxed Zr4Sc3 crystal from OQMD. Energies are from PBE.

Unit cell a=8.5876 b=8.5876 c=5.1422 alpha=90.00 beta=90.00 gamma=120.00
Space group P6_3/m (No. 176)
Inequivalent atoms, fractional coordinates:
Zr 0.0981 0.4826 0.2500 [6 per cell]
Zr 0.3333 0.6667 0.7500 [2 per cell]
Sc 0.0469 0.2414 0.7500 [6 per cell]

- distance to the lowest polymorph of the same formula (meV per atom) = 5.9
- DFT total energy (eV/atom) = -7.614

=====

[5]
Here is a relaxed Zr3Sc crystal from OQMD. Energies are from PBE.

Unit cell a=6.4688 b=6.4688 c=5.1378 alpha=90.00 beta=90.00 gamma=120.00
Space group P6_3/mmc (No. 194)
Inequivalent atoms, fractional coordinates:
Zr 0.1674 0.3349 0.2500 [6 per cell]
Sc 0.3333 0.6667 0.7500 [2 per cell]

- distance to the lowest polymorph of the same formula (meV per atom) = 0.0
- DFT total energy (eV/atom) = -8.025

=====

[6]
Here is a relaxed Sm3SiSe2 crystal from OQMD. Energies are from PBE.

Unit cell a=4.2035 b=5.9086 c=12.6352 alpha=90.00 beta=90.00 gamma=90.00
Space group Immm (No. 71)
Inequivalent atoms, fractional coordinates:
Sm 0.0000 0.0000 0.0000 [2 per cell]
Sm 0.0000 0.0000 0.3413 [4 per cell]
Si 0.0000 0.5000 0.0000 [2 per cell]
Se 0.0000 0.5000 0.3317 [4 per cell]

- DFT total energy (eV/atom) = -5.965

=====

[7]
Here is a relaxed Sm5SiSe4 crystal from OQMD. Energies are from PBE.

Unit cell a=9.3824 b=9.3824 c=5.9033 alpha=90.00 beta=90.00 gamma=90.00
Space group I4/m (No. 87)
Inequivalent atoms, fractional coordinates:
Sm 0.0000 0.0000 0.0000 [2 per cell]
Sm 0.0961 0.7102 0.5000 [8 per cell]
Si 0.0000 0.0000 0.5000 [2 per cell]
Se 0.0981 0.6983 0.0000 [8 per cell]

- DFT total energy (eV/atom) = -5.966

=====

[8]
Here is a relaxed ThSiSe crystal from OQMD. Energies are from PBE.

Unit cell a=4.0031 b=4.0031 c=17.7025 alpha=90.00 beta=90.00 gamma=90.00
Space group I4/mmm (No. 139)
Inequivalent atoms, fractional coordinates:
Th 0.0000 0.0000 0.1308 [4 per cell]
Si 0.0000 0.5000 0.0000 [4 per cell]
Se 0.0000 0.0000 0.3119 [4 per cell]

- DFT total energy (eV/atom) = -6.640

=====

- Which of these has the highest DFT total energy?
  ZrSc2

=====

- What is the formula in the second record?
  ZrSc3